(1)
Entry from the Alexandria database: a relaxed KAg2BPd crystal (PBE).

abc: 5.3375 4.0412 5.3375
angles: 90.00 90.00 90.00
Fractional positions:
K: 0.5000 0.5000 0.5000
Ag: 0.5000 0.0000 0.0000
Ag: 0.0000 0.0000 0.5000
B: 0.0000 0.5000 0.0000
Pd: 0.0000 0.0000 0.0000

Results
The calculation puts the total magnetic moment at 0.00 μB per formula unit. The theoretical density is 5.4 g cm⁻³. The formation energy from the elements is 0.419 eV per atom. As for the space group: P4/mmm, No. 123. The total energy is -16.6 eV per cell.

(2)
Entry from the Alexandria database: a relaxed KAg2BPt crystal (PBE).

abc: 4.7303 4.7303 4.1907
angles: 90.00 90.00 90.00
Fractional positions:
B: 0.0000 0.0000 0.0000
Ag: 0.0000 0.5000 0.0000
Ag: 0.5000 0.0000 0.0000
Pt: 0.0000 0.0000 0.5000
K: 0.5000 0.5000 0.5000

Results
The calculation puts the total magnetic moment at 0.00 μB per formula unit. The theoretical density is 8.2 g cm⁻³. The formation energy from the elements is 0.151 eV per atom. As for the space group: P4/mmm, No. 123. The total energy is -18.8 eV per cell.

(3)
Entry from the Alexandria database: a relaxed KAg2BPt crystal (PBE).

abc: 4.3552 5.2822 4.3552
angles: 90.00 90.00 90.00
Fractional positions:
Ag: 0.5000 0.0000 0.0000
Ag: 0.0000 0.0000 0.5000
B: 0.0000 0.0000 0.0000
Pt: 0.5000 0.5000 0.5000
K: 0.0000 0.5000 0.0000

Results
The calculation puts the total magnetic moment at 0.00 μB per formula unit. The theoretical density is 7.6 g cm⁻³. The formation energy from the elements is 0.882 eV per atom. As for the space group: P4/mmm, No. 123. The total energy is -15.1 eV per cell.

(4)
Entry from the Alexandria database: a relaxed KAgBS2 crystal (PBE).

abc: 4.3167 5.2763 4.3167
angles: 90.00 90.00 90.00
Fractional positions:
Ag: 0.5000 0.5000 0.5000
S: 0.5000 0.0000 0.0000
S: 0.0000 0.0000 0.5000
B: 0.0000 0.0000 0.0000
K: 0.0000 0.5000 0.0000

Results
The calculation puts the total magnetic moment at 0.00 μB per formula unit. The theoretical density is 3.7 g cm⁻³. The calculation puts the energy relative to the elements, uncorrected at 671 meV/atom. As for the space group: P4/mmm, No. 123. The total energy is -15.5 eV per cell.

Across the entries above, Fermi-level density of states takes the values 1.545, 2.233, 3.210, 3.262 states/eV per cell, respectively.
Across the entries above, V takes the values 115.1, 93.8, 100.2, 98.3 Å³ per cell, respectively.